Entry 1:
# Na2VSb2

An optimized crystal structure of Na2VSb2 (PBE, Alexandria).

a b c (Å): 7.1880 7.1880 5.1137
angles (deg): 90.00 90.00 90.00
Space group P4/mbm (No. 127)
Asymmetric unit:
Na: 0.1691 0.3309 0.0000
V: 0.0000 0.0000 0.5000
Sb: 0.1450 0.6450 0.5000

Entry 2:
# NaV3Sb

An optimized crystal structure of NaV3Sb (PBE, Alexandria).

a b c (Å): 4.4733 4.4733 4.4733
angles (deg): 90.00 90.00 90.00
Space group Pm-3m (No. 221)
Asymmetric unit:
Na: 0.0000 0.0000 0.0000
V: 0.0000 0.0000 0.5000
Sb: 0.5000 0.5000 0.5000

Entry 3:
# NaV2Sb2

An optimized crystal structure of NaV2Sb2 (PBE, Alexandria).

a b c (Å): 4.0422 4.0422 13.3139
angles (deg): 90.00 90.00 90.00
Space group I4/mmm (No. 139)
Asymmetric unit:
Na: 0.0000 0.0000 0.0000
V: 0.0000 0.5000 0.2500
Sb: 0.0000 0.0000 0.3819

Entry 4:
# NaV3Sb

An optimized crystal structure of NaV3Sb (PBE, Alexandria).

a b c (Å): 5.2280 5.2280 5.2280
angles (deg): 90.00 90.00 90.00
Space group Pm-3m (No. 221)
Asymmetric unit:
Na: 0.0000 0.0000 0.0000
V: 0.0000 0.5000 0.5000
Sb: 0.5000 0.5000 0.5000

Entry 5:
# Na3SbW

An optimized crystal structure of Na3SbW (PBE, Alexandria).

a b c (Å): 5.8301 5.8301 5.8301
angles (deg): 90.00 90.00 90.00
Space group Pm-3m (No. 221)
Asymmetric unit:
Na: 0.0000 0.0000 0.5000
Sb: 0.0000 0.0000 0.0000
W: 0.5000 0.5000 0.5000

Entry 6:
# NaSb2W

An optimized crystal structure of NaSb2W (PBE, Alexandria).

a b c (Å): 6.9807 6.9807 12.1335
angles (deg): 90.00 90.00 90.00
Space group I-42d (No. 122)
Asymmetric unit:
Na: 0.0000 0.0000 0.0000
Sb: 0.1742 0.2500 0.6250
W: 0.0000 0.0000 0.5000

Entry 7:
# NaSb2W

An optimized crystal structure of NaSb2W (PBE, Alexandria).

a b c (Å): 6.9761 6.9761 6.9761
angles (deg): 90.00 90.00 90.00
Space group Fm-3m (No. 225)
Asymmetric unit:
Na: 0.0000 0.0000 0.0000
Sb: 0.2500 0.2500 0.2500
W: 0.0000 0.0000 0.5000

Entry 8:
# NaSbW3

An optimized crystal structure of NaSbW3 (PBE, Alexandria).

a b c (Å): 4.9772 4.9772 4.9772
angles (deg): 90.00 90.00 90.00
Space group Pm-3m (No. 221)
Asymmetric unit:
Na: 0.0000 0.0000 0.0000
Sb: 0.5000 0.5000 0.5000
W: 0.0000 0.5000 0.5000

Entry 9:
# NaSbW3

An optimized crystal structure of NaSbW3 (PBE, Alexandria).

a b c (Å): 4.6100 4.6100 4.6100
angles (deg): 90.00 90.00 90.00
Space group Pm-3m (No. 221)
Asymmetric unit:
Na: 0.0000 0.0000 0.0000
Sb: 0.5000 0.5000 0.5000
W: 0.0000 0.0000 0.5000

Entry 10:
# Na3SbW

An optimized crystal structure of Na3SbW (PBE, Alexandria).

a b c (Å): 5.7595 5.7595 5.7595
angles (deg): 90.00 90.00 90.00
Space group Pm-3m (No. 221)
Asymmetric unit:
Na: 0.0000 0.0000 0.5000
Sb: 0.5000 0.5000 0.5000
W: 0.0000 0.0000 0.0000

Entry 11:
# NaYSb2

An optimized crystal structure of NaYSb2 (PBE, Alexandria).

a b c (Å): 4.0431 4.0431 6.9128
angles (deg): 90.00 90.00 90.00
Space group P4/mmm (No. 123)
Asymmetric unit:
Na: 0.0000 0.0000 0.0000
Y: 0.0000 0.0000 0.5000
Sb: 0.5000 0.5000 0.2756

Entry 12:
# NaY2Sb2

An optimized crystal structure of NaY2Sb2 (PBE, Alexandria).

a b c (Å): 8.6370 8.6370 3.8692
angles (deg): 90.00 90.00 90.00
Space group P4/mbm (No. 127)
Asymmetric unit:
Na: 0.0000 0.0000 0.0000
Y: 0.1382 0.3618 0.0000
Sb: 0.1619 0.6619 0.5000

no.,formation energy from raw total energies (kJ/mol of atoms)
1,-12.2
2,177.4
3,-1.1
4,116.6
5,121.0
6,56.3
7,43.4
8,244.7
9,283.9
10,143.3
11,-59.1
12,-64.4